(1)
Material: MgHg2Rh
Method: DFT, GGA-PBE
State: relaxed

Unit cell a=4.0935 b=4.0935 c=10.3155 alpha=78.56 beta=78.56 gamma=90.00
Sites, in units of the cell vectors:
Rh (0.0000, 0.0000, 0.0000)
Mg (0.5000, 0.5000, 0.0000)
Rh (0.7500, 0.2500, 0.5000)
Mg (0.2500, 0.7500, 0.5000)
Hg (0.1156, 0.6250, 0.2500)
Hg (0.6344, 0.1250, 0.2500)
Hg (0.8750, 0.8844, 0.7500)
Hg (0.3750, 0.3656, 0.7500)

magnetization = 0.000 μB per cell
space-group type = I-42d (122)
total DFT energy (no corrections) = -2.285 eV/atom
formation energy from the elements = 0.10 eV/atom

***

(2)
Material: ScS2I
Method: DFT, GGA-PBE
State: relaxed

Unit cell a=7.0065 b=7.0065 c=7.1753 alpha=60.78 beta=60.78 gamma=90.00
Last column: magnetic moment on the atom in μB.
Sites, in units of the cell vectors:
S (0.2151, 0.6250, 0.2500)  0.26
Sc (0.2500, 0.7500, 0.5000)  0.08
I (0.7500, 0.2500, 0.5000)  0.68
I (0.0000, 0.0000, 0.0000)  0.68
S (0.8750, 0.7849, 0.7500)  0.26
S (0.5349, 0.1250, 0.2500)  0.24
Sc (0.5000, 0.5000, 0.0000)  0.08
S (0.3750, 0.4651, 0.7500)  0.24

magnetization = 3.857 μB per cell
formation energy from raw total energies = -0.557 eV per atom
space-group type = I-42d (122)
total DFT energy (no corrections) = -4.591 eV/atom
ΔE to the lowest computed polymorph = 508 meV per atom

***

(3)
Material: Na2BeTlP
Method: DFT, GGA-PBE
State: relaxed

Unit cell a=5.1870 b=4.5252 c=5.1870 alpha=90.00 beta=90.00 gamma=90.00
Sites, in units of the cell vectors:
Be (0.0000, 0.0000, 0.0000)
Na (0.5000, 0.0000, 0.0000)
P (0.5000, 0.5000, 0.5000)
Na (0.0000, 0.0000, 0.5000)
Tl (0.0000, 0.5000, 0.0000)

magnetization = 0.000 μB per cell
space-group type = P4/mmm (123)
total DFT energy (no corrections) = -2.305 eV/atom
formation energy from the elements = 0.52 eV/atom

***

What did the third record say?
Material: Na2BeTlP
Method: DFT, GGA-PBE
State: relaxed

Unit cell a=5.1870 b=4.5252 c=5.1870 alpha=90.00 beta=90.00 gamma=90.00
Sites, in units of the cell vectors:
Be (0.0000, 0.0000, 0.0000)
Na (0.5000, 0.0000, 0.0000)
P (0.5000, 0.5000, 0.5000)
Na (0.0000, 0.0000, 0.5000)
Tl (0.0000, 0.5000, 0.0000)

magnetization = 0.000 μB per cell
space-group type = P4/mmm (123)
total DFT energy (no corrections) = -2.305 eV/atom
formation energy from the elements = 0.52 eV/atom

***

Copy entry 1 word for word.
Material: MgHg2Rh
Method: DFT, GGA-PBE
State: relaxed

Unit cell a=4.0935 b=4.0935 c=10.3155 alpha=78.56 beta=78.56 gamma=90.00
Sites, in units of the cell vectors:
Rh (0.0000, 0.0000, 0.0000)
Mg (0.5000, 0.5000, 0.0000)
Rh (0.7500, 0.2500, 0.5000)
Mg (0.2500, 0.7500, 0.5000)
Hg (0.1156, 0.6250, 0.2500)
Hg (0.6344, 0.1250, 0.2500)
Hg (0.8750, 0.8844, 0.7500)
Hg (0.3750, 0.3656, 0.7500)

magnetization = 0.000 μB per cell
space-group type = I-42d (122)
total DFT energy (no corrections) = -2.285 eV/atom
formation energy from the elements = 0.10 eV/atom